VASP calculation (GGA-PBE) on a geometry-optimized Tb6Pb3N2 structure.

Output
The total magnetic moment comes out at 0.00 μB per formula unit. Its symmetry is I4/mmm, No. 139. For the uncorrected formation energy, the calculation gives -0.92 eV per atom.

a = 4.743 Å, b = 4.743 Å, c = 13.142 Å
α = 100.40°, β = 100.40°, γ = 90.00°
Positions (direct):
Pb 0.179 0.179 0.359
Tb 0.085 0.585 0.169
Tb 0.415 0.915 0.831
Pb 0.821 0.821 0.641
Tb 0.309 0.309 0.618
N 0.398 0.398 0.796
Pb 0.000 0.000 0.000
N 0.602 0.602 0.204
Tb 0.691 0.691 0.382
Tb 0.585 0.085 0.169
Tb 0.915 0.415 0.831